No. 1
VASP calculation (PBE-GGA) on an optimized crystal structure of Mg6Re2Te.

As for the raw total energy: -3.8076 eV per atom.

Cell: 5.423 5.423 8.859 Å, 116.93 116.93 47.67°
Element x y z (fractional)
Mg 0.021 0.021 0.176
Mg 0.310 0.310 0.944
Mg 0.328 0.328 0.614
Mg 0.672 0.672 0.386
Mg 0.690 0.690 0.056
Mg 0.979 0.979 0.824
Re 0.351 0.351 0.299
Re 0.649 0.649 0.701
Te 0.000 0.000 0.500


No. 2
VASP calculation (PBE-GGA) on an optimized crystal structure of MgTlReTe.

The energy above the most stable polymorph in this dataset is 0.000 eV/atom.

Cell: 4.849 4.849 4.849 Å, 60.00 60.00 60.00°
Element x y z (fractional)
Mg 0.000 0.000 0.000
Tl 0.250 0.250 0.250
Re 0.500 0.500 0.500
Te 0.750 0.750 0.750


No. 3
VASP calculation (PBE-GGA) on an optimized crystal structure of YMgReTe.

The energy above the most stable polymorph in this dataset is 0.000 eV/atom.

Cell: 4.872 4.872 4.872 Å, 60.00 60.00 60.00°
Element x y z (fractional)
Y 0.000 0.000 0.000
Mg 0.250 0.250 0.250
Re 0.500 0.500 0.500
Te 0.750 0.750 0.750


No. 4
VASP calculation (PBE-GGA) on an optimized crystal structure of YMgReTe.

The energy above the most stable polymorph in this dataset is 0.092 eV/atom.

Cell: 4.958 4.958 4.958 Å, 60.00 60.00 60.00°
Element x y z (fractional)
Y 0.000 0.000 0.000
Mg 0.500 0.500 0.500
Re 0.250 0.250 0.250
Te 0.750 0.750 0.750


No. 5
VASP calculation (PBE-GGA) on an optimized crystal structure of YMgReTe.

The energy above the most stable polymorph in this dataset is 0.058 eV/atom.

Cell: 4.855 4.855 4.855 Å, 60.00 60.00 60.00°
Element x y z (fractional)
Y 0.000 0.000 0.000
Mg 0.250 0.250 0.250
Re 0.750 0.750 0.750
Te 0.500 0.500 0.500


No. 6
VASP calculation (PBE-GGA) on an optimized crystal structure of TmMgRe.

As for the raw total energy: -4.8587 eV per atom.

Cell: 4.726 4.726 4.726 Å, 60.00 60.00 60.00°
Element x y z (fractional)
Tm 0.000 0.000 0.000
Mg 0.750 0.750 0.750
Re 0.250 0.250 0.250


No. 7
VASP calculation (PBE-GGA) on an optimized crystal structure of Tm2Mg3Re.

As for the raw total energy: -4.2187 eV per atom.

Cell: 5.578 5.578 9.721 Å, 90.00 90.00 120.00°
Element x y z (fractional)
Tm 0.333 0.667 0.050
Tm 0.333 0.667 0.450
Tm 0.667 0.333 0.550
Tm 0.667 0.333 0.950
Mg 0.163 0.326 0.750
Mg 0.163 0.837 0.750
Mg 0.326 0.163 0.250
Mg 0.674 0.837 0.750
Mg 0.837 0.163 0.250
Mg 0.837 0.674 0.250
Re 0.000 0.000 0.000
Re 0.000 0.000 0.500


No. 8
VASP calculation (PBE-GGA) on an optimized crystal structure of Tm2MgRe3.

As for the raw total energy: -8.0879 eV per atom.

Cell: 5.310 5.310 9.241 Å, 90.00 90.00 120.00°
Element x y z (fractional)
Tm 0.333 0.667 0.072
Tm 0.333 0.667 0.428
Tm 0.667 0.333 0.572
Tm 0.667 0.333 0.928
Mg 0.000 0.000 0.000
Mg 0.000 0.000 0.500
Re 0.170 0.341 0.750
Re 0.170 0.830 0.750
Re 0.341 0.170 0.250
Re 0.659 0.830 0.750
Re 0.830 0.170 0.250
Re 0.830 0.659 0.250


| no. | spin magnetization (μB per atom) |
| --- | --- |
| 1 | 0.00 |
| 2 | 0.00 |
| 3 | 0.00 |
| 4 | 0.20 |
| 5 | 0.00 |
| 6 | 0.64 |
| 7 | 0.00 |
| 8 | 0.00 |